## TaHg2Br (PBE-GGA)

Data for a geometry-optimized TaHg2Br structure.

Output
offset from the most stable computed form: 0.1432 eV per atom
volume: 112.4 Å³/cell
SG: Cm (8)
ρ: 9776 kg/m3
energy relative to the elements, uncorrected: 0.6 eV per formula unit
total moment: 0.00 μB per cell

abc: 7.929 7.929 4.920
angles: 72.01 72.01 22.52
Sites, in units of the cell vectors:
Hg  0.021  0.021  0.979
Hg  0.154  0.154  0.347
Br  0.842  0.842  0.657
Ta  0.484  0.484  0.516